Entry 1:
# TbPm2Tl2Hg2 | Alexandria | GGA-PBE | optimized geometry
# - SG: R-3m (166)
# - Formation energy: -0.20 eV/atom
# - Crystal system: trigonal
# - Uncorrected energy: -0.2188 Ry per atom
data_TbPm2Tl2Hg2
_chemical_formula_sum 'Tb1 Pm2 Tl2 Hg2'
_cell_length_a 5.018
_cell_length_b 5.018
_cell_length_c 9.458
_cell_angle_alpha 74.62
_cell_angle_beta 74.62
_cell_angle_gamma 60.00
_space_group_name_H-M_alt 'P 1'
_space_group_IT_number 1
_space_group_name_Hall 'P 1'
loop_
_atom_site_label
_atom_site_type_symbol
_atom_site_fract_x
_atom_site_fract_y
_atom_site_fract_z
_atom_site_occupancy
Tb1 Tb 0.000 0.000 0.000 1
Pm1 Pm 0.133 0.133 0.601 1
Pm2 Pm 0.867 0.867 0.399 1
Tl1 Tl 0.724 0.724 0.828 1
Tl2 Tl 0.276 0.276 0.172 1
Hg1 Hg 0.570 0.570 0.291 1
Hg2 Hg 0.430 0.430 0.709 1

Entry 2:
# Y2ScMn | Alexandria | GGA-PBE | optimized geometry
# - SG: I-4m2 (119)
# - ΔE to the lowest computed polymorph: 53.1 kJ/mol of formula units
# - Formation energy: 0.25 eV/atom
# - Crystal system: tetragonal
# - Uncorrected energy: -0.5041 Ry per atom
data_Y2ScMn
_chemical_formula_sum 'Y2 Sc1 Mn1'
_cell_length_a 5.817
_cell_length_b 5.817
_cell_length_c 5.817
_cell_angle_alpha 133.53
_cell_angle_beta 133.53
_cell_angle_gamma 67.83
_space_group_name_H-M_alt 'P 1'
_space_group_IT_number 1
_space_group_name_Hall 'P 1'
loop_
_atom_site_label
_atom_site_type_symbol
_atom_site_fract_x
_atom_site_fract_y
_atom_site_fract_z
_atom_site_occupancy
Mn1 Mn 0.500 0.500 0.000 1
Sc1 Sc 0.750 0.250 0.500 1
Y1 Y 0.000 0.000 0.000 1
Y2 Y 0.250 0.750 0.500 1

Q: Number 2 is which compound?
A: Y2ScMn